## Ac8Os3Br3Cl (GGA-PBE)

Data for an optimized crystal structure of Ac8Os3Br3Cl.

abc: 8.938 8.938 9.360
angles: 118.53 89.99 120.00
Sites, in units of the cell vectors:
Ac (0.266, 0.532, 0.299)
Ac (0.734, 0.468, 0.701)
Ac (0.749, 0.499, 0.293)
Ac (0.251, 0.501, 0.707)
Ac (0.749, 0.043, 0.293)
Ac (0.251, 0.957, 0.707)
Ac (0.294, 0.043, 0.293)
Ac (0.706, 0.957, 0.707)
Os (0.500, 0.000, 0.500)
Os (0.500, 0.500, 0.500)
Os (0.000, 0.500, 0.500)
Br (0.000, 0.000, 0.000)
Br (0.000, 0.500, 0.000)
Br (0.500, 0.500, 0.000)
Cl (0.000, 0.000, 0.500)

Results
DFT total energy: -5.6444 eV per atom
spin magnetization: 0.00 Bohr magnetons per cell
formation energy from raw total energies: -0.7496 eV/atom